1.
# Nd15Ho4Th

A geometry-optimized Nd15Ho4Th structure (PBE-GGA, Alexandria).

Cell and atoms, written as CIF:
```
data_Nd15Ho4Th
_chemical_formula_sum 'Nd15 Ho4 Th1'
_cell_length_a 5.163
_cell_length_b 5.163
_cell_length_c 25.736
_cell_angle_alpha 90.00
_cell_angle_beta 90.00
_cell_angle_gamma 90.00
_space_group_name_H-M_alt 'P 4/m m m'
_space_group_IT_number 123
_space_group_name_Hall '-P 4 2'
loop_
_atom_site_label
_atom_site_type_symbol
_atom_site_fract_x
_atom_site_fract_y
_atom_site_fract_z
Nd1 Nd 0.000 0.000 0.000
Nd2 Nd 0.000 0.000 0.202
Nd3 Nd 0.000 0.000 0.401
Nd4 Nd 0.000 0.500 0.099
Nd5 Nd 0.000 0.500 0.300
Nd6 Nd 0.000 0.500 0.500
Ho1 Ho 0.500 0.500 0.201
Ho2 Ho 0.500 0.500 0.400
Th1 Th 0.500 0.500 0.000
```

Calculated values
As for the energy relative to the elements: 25 meV/atom. The density of states at the Fermi level comes out at 28.9 states/eV/cell.


2.
# La2AgSn

A geometry-optimized La2AgSn structure (PBE-GGA, Alexandria).

Cell and atoms, written as CIF:
```
data_La2AgSn
_chemical_formula_sum 'La8 Ag4 Sn4'
_cell_length_a 8.635
_cell_length_b 8.635
_cell_length_c 6.621
_cell_angle_alpha 90.00
_cell_angle_beta 90.00
_cell_angle_gamma 90.00
_space_group_name_H-M_alt 'I -4 2 d'
_space_group_IT_number 122
_space_group_name_Hall 'I -4 2bw'
loop_
_atom_site_label
_atom_site_type_symbol
_atom_site_fract_x
_atom_site_fract_y
_atom_site_fract_z
La1 La 0.231 0.250 0.125
Ag1 Ag 0.000 0.000 0.000
Sn1 Sn 0.000 0.000 0.500
```

Calculated values
As for the energy relative to the elements: -225 meV/atom. The density of states at the Fermi level comes out at 16.4 states/eV/cell.


3.
# Ac3As3Pd2

A geometry-optimized Ac3As3Pd2 structure (PBE-GGA, Alexandria).

Cell and atoms, written as CIF:
```
data_Ac3As3Pd2
_chemical_formula_sum 'Ac12 As12 Pd8'
_cell_length_a 4.433
_cell_length_b 11.642
_cell_length_c 16.340
_cell_angle_alpha 90.00
_cell_angle_beta 90.00
_cell_angle_gamma 90.00
_space_group_name_H-M_alt 'C m c m'
_space_group_IT_number 63
_space_group_name_Hall '-C 2c 2'
loop_
_atom_site_label
_atom_site_type_symbol
_atom_site_fract_x
_atom_site_fract_y
_atom_site_fract_z
Ac1 Ac 0.000 0.114 0.091
Ac2 Ac 0.000 0.385 0.250
As1 As 0.000 0.334 0.750
As2 As 0.000 0.389 0.059
Pd1 Pd 0.000 0.187 0.620
```

Calculated values
As for the energy relative to the elements: -1106 meV/atom. The density of states at the Fermi level comes out at 9.5 states/eV/cell.


4.
# AcTbEr

A geometry-optimized AcTbEr structure (PBE-GGA, Alexandria).

Cell and atoms, written as CIF:
```
data_AcTbEr
_chemical_formula_sum 'Ac2 Tb2 Er2'
_cell_length_a 3.724
_cell_length_b 3.724
_cell_length_c 15.334
_cell_angle_alpha 90.00
_cell_angle_beta 90.00
_cell_angle_gamma 90.00
_space_group_name_H-M_alt 'I 4 m m'
_space_group_IT_number 107
_space_group_name_Hall 'I 4 -2'
loop_
_atom_site_label
_atom_site_type_symbol
_atom_site_fract_x
_atom_site_fract_y
_atom_site_fract_z
Ac1 Ac 0.000 0.000 0.000
Tb1 Tb 0.000 0.000 0.674
Er1 Er 0.000 0.000 0.328
```

Calculated values
Its energy above the lowest structure with this stoichiometry is 0 meV/atom. As for the energy relative to the elements: 64 meV/atom. The density of states at the Fermi level comes out at 8.1 states/eV/cell.


5.
# HfRe4Rh2

A geometry-optimized HfRe4Rh2 structure (PBE-GGA, Alexandria).

Cell and atoms, written as CIF:
```
data_HfRe4Rh2
_chemical_formula_sum 'Hf2 Re8 Rh4'
_cell_length_a 4.696
_cell_length_b 4.696
_cell_length_c 12.601
_cell_angle_alpha 90.00
_cell_angle_beta 90.00
_cell_angle_gamma 90.00
_space_group_name_H-M_alt 'I 4/m m m'
_space_group_IT_number 139
_space_group_name_Hall '-I 4 2'
loop_
_atom_site_label
_atom_site_type_symbol
_atom_site_fract_x
_atom_site_fract_y
_atom_site_fract_z
Hf1 Hf 0.000 0.000 0.000
Re1 Re 0.000 0.000 0.204
Re2 Re 0.000 0.500 0.000
Rh1 Rh 0.000 0.000 0.391
```

Calculated values
As for the energy relative to the elements: 2023 meV/atom. The density of states at the Fermi level comes out at 15.2 states/eV/cell.


6.
# LaTl2HgBi2

A geometry-optimized LaTl2HgBi2 structure (PBE-GGA, Alexandria).

Cell and atoms, written as CIF:
```
data_LaTl2HgBi2
_chemical_formula_sum 'La2 Tl4 Hg2 Bi4'
_cell_length_a 4.806
_cell_length_b 10.492
_cell_length_c 7.836
_cell_angle_alpha 90.00
_cell_angle_beta 90.00
_cell_angle_gamma 90.00
_space_group_name_H-M_alt 'P m c 21'
_space_group_IT_number 26
loop_
_space_group_symop_operation_xyz
'x,y,z'
'-x,-y,z+1/2'
'-x,y,z'
'x,-y,z+1/2'
loop_
_atom_site_label
_atom_site_type_symbol
_atom_site_fract_x
_atom_site_fract_y
_atom_site_fract_z
La1 La 0.000 0.040 0.000
Tl1 Tl 0.000 0.355 0.367
Tl2 Tl 0.500 0.434 0.067
Hg1 Hg 0.500 0.161 0.692
Bi1 Bi 0.000 0.319 0.784
Bi2 Bi 0.500 0.129 0.278
```

Calculated values
As for the energy relative to the elements: -305 meV/atom. The density of states at the Fermi level comes out at 5.1 states/eV/cell.


7.
# SiRh2W

A geometry-optimized SiRh2W structure (PBE-GGA, Alexandria).

Cell and atoms, written as CIF:
```
data_SiRh2W
_chemical_formula_sum 'Si1 Rh2 W1'
_cell_length_a 2.873
_cell_length_b 2.873
_cell_length_c 6.870
_cell_angle_alpha 90.00
_cell_angle_beta 90.00
_cell_angle_gamma 90.00
_space_group_name_H-M_alt 'P 4 m m'
_space_group_IT_number 99
loop_
_space_group_symop_operation_xyz
'x,y,z'
'-y,x,z'
'-x,-y,z'
'y,-x,z'
'-x,y,z'
'y,x,z'
'x,-y,z'
'-y,-x,z'
loop_
_atom_site_label
_atom_site_type_symbol
_atom_site_fract_x
_atom_site_fract_y
_atom_site_fract_z
Si1 Si 0.000 0.000 0.000
Rh1 Rh 0.000 0.000 0.505
Rh2 Rh 0.500 0.500 0.808
W1 W 0.500 0.500 0.254
```

Calculated values
Its total energy is -8.64 eV per atom. The density of states at the Fermi level comes out at 2.2 states/eV/cell.


8.
# La15Sm4Sc

A geometry-optimized La15Sm4Sc structure (PBE-GGA, Alexandria).

Cell and atoms, written as CIF:
```
data_La15Sm4Sc
_chemical_formula_sum 'La15 Sm4 Sc1'
_cell_length_a 5.206
_cell_length_b 5.206
_cell_length_c 26.101
_cell_angle_alpha 90.00
_cell_angle_beta 90.00
_cell_angle_gamma 90.00
_space_group_name_H-M_alt 'P 4/m m m'
_space_group_IT_number 123
_space_group_name_Hall '-P 4 2'
loop_
_atom_site_label
_atom_site_type_symbol
_atom_site_fract_x
_atom_site_fract_y
_atom_site_fract_z
La1 La 0.000 0.000 0.000
La2 La 0.000 0.000 0.198
La3 La 0.000 0.000 0.399
La4 La 0.000 0.500 0.097
La5 La 0.000 0.500 0.298
La6 La 0.000 0.500 0.500
Sm1 Sm 0.500 0.500 0.197
Sm2 Sm 0.500 0.500 0.399
Sc1 Sc 0.500 0.500 0.000
```

Calculated values
As for the energy relative to the elements: 16 meV/atom. The density of states at the Fermi level comes out at 31.5 states/eV/cell.


Ordered total magnetic moment results: 0.0, 1.6, 0.0, 0.0, 2.3, 0.0, 0.0, 0.0; unit μB per cell.